[1]
Gd2MgSc: relaxed, GGA-PBE.

abc: 5.491 5.491 3.724
angles: 90.00 90.00 90.00
Space group P4/mmm (No. 123)
Inequivalent atoms, fractional coordinates:
Gd1 0.000 0.500 0.000 [2 per cell]
Mg1 0.000 0.000 0.500 [1 per cell]
Sc1 0.500 0.500 0.500 [1 per cell]

Calculated values
Calculated volume, A^3/atom: 28.06
Crystal system: tetragonal
Energy above the most stable polymorph in this dataset, eV per atom: 0.030
VASP energy, eV/atom: -9.010

=====

[2]
Tb6CeDyTm2: relaxed, GGA-PBE.

abc: 11.359 6.734 8.917
angles: 90.00 107.08 90.00
Space group C2/m (No. 12)
Inequivalent atoms, fractional coordinates:
Tb1 0.132 0.000 0.419 [4 per cell]
Tb2 0.167 0.259 0.803 [8 per cell]
Ce1 0.000 0.000 0.000 [2 per cell]
Dy1 0.000 0.500 0.500 [2 per cell]
Tm1 0.090 0.500 0.173 [4 per cell]

Calculated values
Calculated volume, A^3/atom: 32.60
Crystal system: monoclinic
VASP energy, eV/atom: -4.474

=====

[3]
Sm6In2H: relaxed, GGA-PBE.

abc: 6.567 9.356 9.721
angles: 90.00 121.79 90.00
Space group P2_1/c (No. 14)
Inequivalent atoms, fractional coordinates:
Sm1 0.129 0.135 0.483 [4 per cell]
Sm2 0.323 0.041 0.200 [4 per cell]
Sm3 0.325 0.737 0.442 [4 per cell]
In1 0.178 0.088 0.820 [4 per cell]
H1 0.500 0.000 0.500 [2 per cell]

Calculated values
Calculated volume, A^3/atom: 28.20
Crystal system: monoclinic
VASP energy, eV/atom: -4.384

=====

[4]
Ba2NaSi: relaxed, GGA-PBE.

abc: 5.905 5.905 4.264
angles: 90.00 90.00 90.00
Space group P4/mmm (No. 123)
Inequivalent atoms, fractional coordinates:
Ba1 0.000 0.500 0.000 [2 per cell]
Na1 0.000 0.000 0.500 [1 per cell]
Si1 0.500 0.500 0.500 [1 per cell]

Calculated values
Formation energy (no corrections), eV per atom: -0.04
Calculated volume, A^3/atom: 37.17
Crystal system: tetragonal
Energy above the most stable polymorph in this dataset, eV per atom: 0.145
VASP energy, eV/atom: -2.689

=====

[5]
KIn2GaSb2: relaxed, GGA-PBE.

abc: 6.895 12.055 4.812
angles: 90.00 90.00 90.00
Space group Pnnm (No. 58)
Inequivalent atoms, fractional coordinates:
K1 0.000 0.000 0.000 [2 per cell]
In1 0.240 0.313 0.000 [4 per cell]
Ga1 0.000 0.500 0.000 [2 per cell]
Sb1 0.170 0.182 0.500 [4 per cell]

Calculated values
Formation energy (no corrections), eV per atom: -0.08
Calculated volume, A^3/atom: 33.33
Crystal system: orthorhombic
VASP energy, eV/atom: -3.057

=====

[6]
Pr3Dy6Ho2Pb: relaxed, GGA-PBE.

abc: 6.182 10.704 11.703
angles: 90.00 100.19 90.00
Space group C2/m (No. 12)
Inequivalent atoms, fractional coordinates:
Pr1 0.000 0.000 0.000 [2 per cell]
Pr2 0.000 0.332 0.000 [4 per cell]
Dy1 0.244 0.336 0.743 [8 per cell]
Dy2 0.247 0.500 0.256 [4 per cell]
Ho1 0.000 0.166 0.500 [4 per cell]
Pb1 0.000 0.500 0.500 [2 per cell]

Calculated values
Calculated volume, A^3/atom: 31.76
Crystal system: monoclinic
VASP energy, eV/atom: -4.613

=====

[7]
CrSiP2S: relaxed, GGA-PBE.

abc: 4.296 4.296 5.053
angles: 90.00 90.00 90.00
Space group P4/mmm (No. 123)
Inequivalent atoms, fractional coordinates:
Cr1 0.000 0.000 0.000 [1 per cell]
Si1 0.500 0.500 0.500 [1 per cell]
P1 0.000 0.500 0.000 [2 per cell]
S1 0.000 0.000 0.500 [1 per cell]

Calculated values
Formation energy (no corrections), eV per atom: 0.62
Calculated volume, A^3/atom: 18.65
Crystal system: tetragonal
Energy above the most stable polymorph in this dataset, eV per atom: 0.000
VASP energy, eV/atom: -5.383

=====

[8]
TlFeAs2: relaxed, GGA-PBE.

abc: 4.681 4.681 3.634
angles: 90.00 90.00 90.00
Space group P4/mmm (No. 123)
Inequivalent atoms, fractional coordinates:
Tl1 0.000 0.000 0.000 [1 per cell]
Fe1 0.500 0.500 0.000 [1 per cell]
As1 0.000 0.500 0.500 [2 per cell]

Calculated values
Calculated volume, A^3/atom: 19.91
Crystal system: tetragonal
Energy above the most stable polymorph in this dataset, eV per atom: 0.603
VASP energy, eV/atom: -4.393